# 1
Material: Y2ScFe
Method: DFT, GGA-PBE
State: optimized geometry

Results
Distance to the lowest polymorph of the same formula (meV/atom): 61

Unit cell a=3.4454 b=3.4454 c=8.2184 alpha=90.00 beta=90.00 gamma=90.00
Space group P4/mmm (No. 123)
Inequivalent atoms, fractional coordinates:
Y1 0.0000 0.0000 0.1989 x2
Sc1 0.5000 0.5000 0.5000 x1
Fe1 0.5000 0.5000 0.0000 x1

=====

# 2
Material: Y2ScFe
Method: DFT, GGA-PBE
State: optimized geometry

Results
Distance to the lowest polymorph of the same formula (meV/atom): 209

Unit cell a=3.4751 b=3.4751 c=28.7628 alpha=90.00 beta=90.00 gamma=120.00
Space group R-3m (No. 166, hexagonal axes)
Inequivalent atoms, fractional coordinates:
Y1 0.0000 0.0000 0.2342 x6
Sc1 0.0000 0.0000 0.0000 x3
Fe1 0.0000 0.0000 0.5000 x3

=====

# 3
Material: Y2Sc2Fe
Method: DFT, GGA-PBE
State: optimized geometry

Unit cell a=6.5835 b=6.5835 c=5.5724 alpha=90.00 beta=90.00 gamma=90.00
Space group P4/mbm (No. 127)
Inequivalent atoms, fractional coordinates:
Y1 0.1735 0.3265 0.0000 x4
Sc1 0.1647 0.6647 0.5000 x4
Fe1 0.0000 0.0000 0.5000 x2

=====

# 4
Material: Y2ScFe
Method: DFT, GGA-PBE
State: optimized geometry

Results
Distance to the lowest polymorph of the same formula (meV/atom): 0

Unit cell a=3.2770 b=3.2770 c=8.8160 alpha=90.00 beta=90.00 gamma=90.00
Space group P4mm (No. 99)
Inequivalent atoms, fractional coordinates:
Y1 0.0000 0.0000 0.0000 x1
Y2 0.5000 0.5000 0.3402 x1
Sc1 0.5000 0.5000 0.6921 x1
Fe1 0.0000 0.0000 0.5327 x1

=====

# 5
Material: YScFe2
Method: DFT, GGA-PBE
State: optimized geometry

Unit cell a=3.1926 b=3.1926 c=7.5473 alpha=90.00 beta=90.00 gamma=90.00
Space group P4mm (No. 99)
Inequivalent atoms, fractional coordinates:
Y1 0.0000 0.0000 0.0000 x1
Sc1 0.5000 0.5000 0.6204 x1
Fe1 0.0000 0.0000 0.4055 x1
Fe2 0.5000 0.5000 0.2543 x1

=====

# 6
Material: YSc3Fe
Method: DFT, GGA-PBE
State: optimized geometry

Results
Distance to the lowest polymorph of the same formula (meV/atom): 1655

Unit cell a=5.0214 b=5.0214 c=5.0214 alpha=90.00 beta=90.00 gamma=90.00
Space group Pm-3m (No. 221)
Inequivalent atoms, fractional coordinates:
Y1 0.0000 0.0000 0.0000 x1
Sc1 0.0000 0.0000 0.5000 x3
Fe1 0.5000 0.5000 0.5000 x1

=====

# 7
Material: YSc3Fe
Method: DFT, GGA-PBE
State: optimized geometry

Results
Distance to the lowest polymorph of the same formula (meV/atom): 0

Unit cell a=4.9290 b=4.9290 c=4.9290 alpha=90.00 beta=90.00 gamma=90.00
Space group Pm-3m (No. 221)
Inequivalent atoms, fractional coordinates:
Y1 0.0000 0.0000 0.0000 x1
Sc1 0.0000 0.5000 0.5000 x3
Fe1 0.5000 0.5000 0.5000 x1

=====

# 8
Material: Y2ScFe
Method: DFT, GGA-PBE
State: optimized geometry

Results
Distance to the lowest polymorph of the same formula (meV/atom): 1

Unit cell a=3.4305 b=5.2078 c=10.5251 alpha=90.00 beta=90.00 gamma=90.00
Space group Imm2 (No. 44)
Inequivalent atoms, fractional coordinates:
Y1 0.0000 0.0000 0.0000 x2
Y2 0.0000 0.5000 0.1969 x2
Sc1 0.0000 0.0000 0.3857 x2
Fe1 0.0000 0.5000 0.7068 x2

=====

| no. | energy relative to the elements (eV per atom) | total magnetic moment (μB/cell) |
| --- | --- | --- |
| 1 | 0.115 | 2.2 |
| 2 | 0.263 | 6.2 |
| 3 | 0.176 | 0.0 |
| 4 | 0.054 | 0.0 |
| 5 | 0.081 | 4.5 |
| 6 | 1.657 | 0.2 |
| 7 | 0.002 | 0.0 |
| 8 | 0.055 | 0.0 |